The following is a GGA-PBE calculation of a geometry-optimized BaCrTcAg2 structure, from the Alexandria database.

Properties
- Energy of formation from the pure elements: 286 kJ/mol of formula units

POSCAR file:
```
BaCrTcAg2
1.0
5.361 0.000 0.000
0.000 5.361 0.000
0.000 0.000 4.500
Ba Cr Tc Ag
1 1 1 2
Direct
0.000 0.000 0.000
0.500 0.500 0.000
0.500 0.500 0.500
0.000 0.500 0.500
0.500 0.000 0.500
```